# PtSe

A relaxed PtSe crystal (PBE-GGA, the Alexandria database).

```
PtSe
1.0
11.8533 0.0000 0.0000
0.0000 4.3729 0.0000
0.0000 0.0000 4.8141
Pt Se
6 6
Direct
0.0000 0.1636 0.0000
0.1984 0.3690 0.7562
0.3016 0.6310 0.2562
0.5000 0.8364 0.5000
0.6984 0.6310 0.2562
0.8016 0.3690 0.7562
0.0000 0.6618 0.7689
0.1765 0.1502 0.2696
0.3235 0.8498 0.7696
0.5000 0.3382 0.2689
0.6765 0.8498 0.7696
0.8235 0.1502 0.2696
```

=====

# PtSe

A relaxed PtSe crystal (PBE-GGA, the Alexandria database).

```
PtSe
1.0
7.1924 0.0000 0.0000
0.0000 7.1924 0.0000
0.0000 0.0000 3.6900
Pt Se
4 4
Direct
0.1323 0.1323 0.0000
0.3677 0.6323 0.5000
0.6323 0.3677 0.5000
0.8677 0.8677 0.0000
0.2060 0.7940 0.0000
0.2940 0.2940 0.5000
0.7060 0.7060 0.5000
0.7940 0.2060 0.0000
```

=====

# PtSe

A relaxed PtSe crystal (PBE-GGA, the Alexandria database).

```
PtSe
1.0
3.7159 0.0000 0.0000
-1.8579 3.2180 0.0000
0.0000 0.0000 7.5680
Pt Se
2 2
Direct
0.3333 0.6667 0.1211
0.6667 0.3333 0.8789
0.3333 0.6667 0.7198
0.6667 0.3333 0.2802
```

=====

# PtSe2

A relaxed PtSe2 crystal (PBE-GGA, the Alexandria database).

```
PtSe2
1.0
5.4502 0.0000 0.0000
0.0000 6.0181 0.0000
0.0000 0.0000 3.9190
Pt Se
2 4
Direct
0.0000 0.0000 0.0000
0.5000 0.5000 0.5000
0.2317 0.3762 0.0000
0.2683 0.8762 0.5000
0.7317 0.1238 0.5000
0.7683 0.6238 0.0000
```

=====

| no. | calculated volume (Å³/atom) | total magnetic moment (μB per formula unit) | raw formation energy (eV per atom) |
| --- | --- | --- | --- |
| 1 | 20.8 | 0.00 | -0.126 |
| 2 | 23.9 | 0.00 | -0.101 |
| 3 | 22.6 | 0.00 | -0.090 |
| 4 | 21.4 | 0.00 | -0.219 |